A PBEsol-optimized structure of BeTcBr4, computed with SCAN.

Cell: 8.528 8.528 8.528 Å, 90.00 90.00 90.00°
Space group F-43m (No. 216)
Symmetry-distinct sites (fractional):
Be: 0.000 0.000 0.000
Tc: 0.250 0.250 0.250
Br: 0.125 0.125 0.625

Values from the calculation:
Total magnetic moment ... 11.9 μB/cell
Raw formation energy ... 8.73 eV per formula unit
Energy ... -18.088 eV per atom